# 1
DFT (PBE) results for a relaxed structure of NaBiIrO4.

It has space group Imma (No. 74), with a = 6.530 Å, b = 6.952 Å, c = 9.376 Å, α = 90.00°, β = 90.00° and γ = 90.00°. Symmetry generates all atoms from Na at (0.000, 0.250, 0.120), Bi at (0.000, 0.000, 0.500), Ir at (0.250, 0.250, 0.750), O at (0.000, 0.063, 0.748) and O at (0.235, 0.250, 0.532).

Its raw total energy is -0.2167 Ha/atom. As for the calculated density: 7.62 Mg/m³. The formation energy (no corrections) comes out at -1.055 eV per atom. Its crystal system is orthorhombic.

***

# 2
DFT (PBE) results for a relaxed structure of NaBiIr2O8.

It has space group P-3 (No. 147), with a = 5.8571 Å, b = 5.8571 Å, c = 6.8510 Å, α = 90.00°, β = 90.00° and γ = 120.00°. Symmetry generates all atoms from Na at (0.0000, 0.0000, 0.0000), Bi at (0.0000, 0.0000, 0.5000), Ir at (0.3333, 0.6667, 0.4569), O at (0.0664, 0.3931, 0.6267) and O at (0.3333, 0.6667, 0.1940).

Its raw total energy is -0.2119 Ha/atom. As for the calculated density: 6.07 Mg/m³. The formation energy (no corrections) comes out at -0.550 eV per atom. Its crystal system is trigonal.

***

# 3
DFT (PBE) results for a relaxed structure of NaBi2IrO6.

It has space group R3 (No. 146, hexagonal axes), with a = 5.7486 Å, b = 5.7486 Å, c = 15.0448 Å, α = 90.00°, β = 90.00° and γ = 120.00°. Symmetry generates all atoms from Na at (0.0000, 0.0000, 0.0000), Bi at (0.0000, 0.0000, 0.2156), Bi at (0.0000, 0.0000, 0.7280), Ir at (0.0000, 0.0000, 0.5213), O at (0.0108, 0.7354, 0.6052) and O at (0.0575, 0.3447, 0.1188).

Its raw total energy is -0.2169 Ha/atom. As for the calculated density: 8.44 Mg/m³. The formation energy (no corrections) comes out at -1.133 eV per atom. Its crystal system is trigonal.

***

# 4
DFT (PBE) results for a relaxed structure of Na2BiIrO4.

It has space group I-4 (No. 82), with a = 5.932 Å, b = 5.932 Å, c = 6.651 Å, α = 90.00°, β = 90.00° and γ = 90.00°. Symmetry generates all atoms from Na at (0.000, 0.000, 0.000), Na at (0.000, 0.500, 0.250), Bi at (0.000, 0.500, 0.750), Ir at (0.000, 0.000, 0.500) and O at (0.181, 0.721, 0.506).

Its raw total energy is -0.2003 Ha/atom. As for the calculated density: 7.25 Mg/m³. The formation energy (no corrections) comes out at -1.050 eV per atom. Its crystal system is tetragonal.

***

# 5
DFT (PBE) results for a relaxed structure of Na2Bi2IrO6.

It has space group C2/m (No. 12), with a = 6.042 Å, b = 10.179 Å, c = 5.886 Å, α = 90.00°, β = 103.69° and γ = 90.00°. Symmetry generates all atoms from Na at (0.000, 0.142, 0.000), Bi at (0.000, 0.338, 0.500), Ir at (0.000, 0.000, 0.500), O at (0.186, 0.155, 0.687) and O at (0.222, 0.000, 0.288).

Its raw total energy is -0.2048 Ha/atom. As for the calculated density: 7.10 Mg/m³. The formation energy (no corrections) comes out at -1.118 eV per atom. Its crystal system is monoclinic.

***

# 6
DFT (PBE) results for a relaxed structure of NaBiIrO6.

It has space group P-31c (No. 163), with a = 5.5522 Å, b = 5.5522 Å, c = 9.8313 Å, α = 90.00°, β = 90.00° and γ = 120.00°. Symmetry generates all atoms from Na at (0.0000, 0.0000, 0.0000), Bi at (0.3333, 0.6667, 0.2500), Ir at (0.3333, 0.6667, 0.7500) and O at (0.0411, 0.3865, 0.6398).

Its raw total energy is -0.2117 Ha/atom. As for the calculated density: 6.58 Mg/m³. The formation energy (no corrections) comes out at -0.893 eV per atom. Its crystal system is trigonal.

***

# 7
DFT (PBE) results for a relaxed structure of NaBi2PIr.

It has space group P4/mmm (No. 123), with a = 5.273 Å, b = 5.273 Å, c = 4.651 Å, α = 90.00°, β = 90.00° and γ = 90.00°. Symmetry generates all atoms from Na at (0.000, 0.000, 0.000), Bi at (0.000, 0.500, 0.000), P at (0.000, 0.000, 0.500) and Ir at (0.500, 0.500, 0.500).

Its raw total energy is -0.1166 Ha/atom. As for the calculated density: 8.53 Mg/m³. Its energy of formation is 1.50 eV/atom. Its crystal system is tetragonal.

***

# 8
DFT (PBE) results for a relaxed structure of Na2BiIrPd.

It has space group P4/mmm (No. 123), with a = 4.930 Å, b = 4.930 Å, c = 5.171 Å, α = 90.00°, β = 90.00° and γ = 90.00°. Symmetry generates all atoms from Na at (0.000, 0.500, 0.000), Bi at (0.000, 0.000, 0.500), Ir at (0.500, 0.500, 0.500) and Pd at (0.000, 0.000, 0.000).

Its raw total energy is -0.1239 Ha/atom. As for the calculated density: 7.31 Mg/m³. Its energy of formation is 0.74 eV/atom. Its crystal system is tetragonal.